Entry 1:
RbErSi after structural relaxation, computed with PBE.

The space group is F-43m (No. 216) and the conventional cell measures 7.426, 7.426 and 7.426 Å, with angles of 90.00, 90.00 and 90.00 degrees. The inequivalent atoms are Rb at (0.000, 0.000, 0.000), Er at (0.000, 0.000, 0.500) and Si at (0.250, 0.250, 0.750).

The crystal system is cubic. The excess energy over the best structure of this formula in the dataset is 0 meV per atom.

Entry 2:
RbSmErTe3 after structural relaxation, computed with PBE.

The space group is Cmcm (No. 63) and the conventional cell measures 4.733, 16.784 and 12.024 Å, with angles of 90.00, 90.00 and 90.00 degrees. The inequivalent atoms are Rb at (0.000, 0.244, 0.250), Sm at (0.000, 0.500, 0.000), Er at (0.000, 0.035, 0.750), Te at (0.000, 0.128, 0.548) and Te at (0.000, 0.431, 0.750).

The final energy is -4.509 eV/atom. The crystal system is orthorhombic.

Entry 3:
RbErSn after structural relaxation, computed with PBE.

The space group is F-43m (No. 216) and the conventional cell measures 7.585, 7.585 and 7.585 Å, with angles of 90.00, 90.00 and 90.00 degrees. The inequivalent atoms are Rb at (0.000, 0.000, 0.000), Er at (0.250, 0.250, 0.250) and Sn at (0.000, 0.000, 0.500).

The final energy is -2.975 eV/atom. The crystal system is cubic.

no.,V (A^3/atom)
1,34.13
2,39.80
3,36.36